Entry 1:
Computed, not measured: an optimized crystal structure of YBe2V2 at the PBE-GGA level of DFT.

a b c (Å): 6.9944 6.9944 2.9296
angles (deg): 90.00 90.00 90.00
Closest atoms and distances in Å follow each position.
Atoms (fractional coordinates):
Y 0.0000 0.0000 0.0000  4 Be 2.83, 2 Y 2.93, 8 V 2.97
Y 0.5000 0.5000 0.0000  4 Be 2.83, 2 Y 2.93, 8 V 2.97
Be 0.3896 0.8896 0.0000  1 Be 2.18
Be 0.8896 0.6104 0.0000  1 Be 2.18
Be 0.6104 0.1104 0.0000  1 Be 2.18
Be 0.1104 0.3896 0.0000  1 Be 2.18
V 0.1731 0.6731 0.5000  6 Be 2.50-2.60
V 0.6731 0.8269 0.5000  6 Be 2.50-2.60
V 0.8269 0.3269 0.5000  6 Be 2.50-2.60
V 0.3269 0.1731 0.5000  6 Be 2.50-2.60

E_tot	-61.1	eV/cell



Entry 2:
Computed, not measured: an optimized crystal structure of SmHoU2As4 at the PBE-GGA level of DFT.

a b c (Å): 4.0854 7.0783 7.2299
angles (deg): 109.04 90.00 90.00
Closest atoms and distances in Å follow each position.
Atoms (fractional coordinates):
Sm 0.0000 0.0000 0.0000  6 As 2.95
Ho 0.5000 0.5000 0.0000  6 As 2.92
U 0.5000 0.0000 0.5000  6 As 2.91
U 0.0000 0.5000 0.5000  6 As 2.88
As 0.5000 0.2554 0.2558  3 U 2.88-2.91, 1 Ho 2.92, 2 Sm 2.95
As 0.5000 0.7446 0.7442  3 U 2.88-2.91, 1 Ho 2.92, 2 Sm 2.95
As 0.0000 0.2524 0.7469  3 U 2.88-2.91, 2 Ho 2.92, 1 Sm 2.95
As 0.0000 0.7476 0.2531  3 U 2.88-2.91, 2 Ho 2.92, 1 Sm 2.95

E_tot	-59.5	eV/cell



Entry 3:
Computed, not measured: an optimized crystal structure of Ga2SnH at the PBE-GGA level of DFT.

a b c (Å): 4.3612 4.3612 6.4835
angles (deg): 70.35 70.35 60.00
Closest atoms and distances in Å follow each position.
Atoms (fractional coordinates):
H 0.0000 0.0000 0.0000  2 Ga 1.77
Sn 0.5000 0.5000 0.5000  6 Ga 2.80
Ga 0.0986 0.0986 0.7043  1 H 1.77
Ga 0.9014 0.9014 0.2957  1 H 1.77

E_tot	-12.6	eV/cell



Please write out number 1 again, unchanged.
Computed, not measured: an optimized crystal structure of YBe2V2 at the PBE-GGA level of DFT.

a b c (Å): 6.9944 6.9944 2.9296
angles (deg): 90.00 90.00 90.00
Closest atoms and distances in Å follow each position.
Atoms (fractional coordinates):
Y 0.0000 0.0000 0.0000  4 Be 2.83, 2 Y 2.93, 8 V 2.97
Y 0.5000 0.5000 0.0000  4 Be 2.83, 2 Y 2.93, 8 V 2.97
Be 0.3896 0.8896 0.0000  1 Be 2.18
Be 0.8896 0.6104 0.0000  1 Be 2.18
Be 0.6104 0.1104 0.0000  1 Be 2.18
Be 0.1104 0.3896 0.0000  1 Be 2.18
V 0.1731 0.6731 0.5000  6 Be 2.50-2.60
V 0.6731 0.8269 0.5000  6 Be 2.50-2.60
V 0.8269 0.3269 0.5000  6 Be 2.50-2.60
V 0.3269 0.1731 0.5000  6 Be 2.50-2.60

E_tot	-61.1	eV/cell